i | ## Mg2TlIn5 (GGA-PBE)

Data for crystalline Mg2TlIn5 at its relaxed geometry. Values from VASP.

```
&SYSTEM
  ibrav = 0, nat = 8, ntyp = 3
/
ATOMIC_SPECIES
Mg 24.30 Mg.upf
Tl 204.38 Tl.upf
In 114.82 In.upf
CELL_PARAMETERS angstrom
4.7152 0.0000 0.0000
2.3576 6.7324 -0.5524
2.3576 0.6939 6.7193
ATOMIC_POSITIONS crystal
Mg 0.6877 0.8123 0.8123
Mg 0.3123 0.1877 0.1877
Tl 0.0000 0.0000 0.0000
In 0.0000 0.5000 0.5000
In 0.6640 0.5146 0.1573
In 0.3360 0.4854 0.8427
In 0.3360 0.8427 0.4854
In 0.6640 0.1573 0.5146
```

Properties
As for the total magnetization: 0.0 μB/cell. The value obtained for the volume is 26.89 Å³ per atom. The density of states at the Fermi level comes out at 2.641 states/eV/cell.

ii | ## Mg2TlIn5 (GGA-PBE)

Data for crystalline Mg2TlIn5 at its relaxed geometry. Values from VASP.

```
&SYSTEM
  ibrav = 0, nat = 16, ntyp = 3
/
ATOMIC_SPECIES
Mg 24.30 Mg.upf
Tl 204.38 Tl.upf
In 114.82 In.upf
CELL_PARAMETERS angstrom
4.7133 0.0000 0.0000
0.0000 6.8314 0.0000
0.0000 0.0000 12.7336
ATOMIC_POSITIONS crystal
Mg 0.5000 0.2424 0.6228
Mg 0.5000 0.7576 0.3772
Mg 0.5000 0.2576 0.1228
Mg 0.5000 0.7424 0.8772
Tl 0.0000 0.0000 0.5000
Tl 0.0000 0.5000 0.0000
In 0.0000 0.0000 0.0000
In 0.0000 0.5000 0.5000
In 0.0000 0.4854 0.7477
In 0.0000 0.5146 0.2523
In 0.0000 0.0146 0.2477
In 0.0000 0.9854 0.7523
In 0.5000 0.2385 0.8714
In 0.5000 0.7615 0.1286
In 0.5000 0.2615 0.3714
In 0.5000 0.7385 0.6286
```

Properties
As for the total magnetization: 0.0 μB/cell. The value obtained for the volume is 25.63 Å³ per atom. The density of states at the Fermi level comes out at 8.207 states/eV/cell.

Comparing the structures above, ii comes out on top by 2.5 kJ/mol of atoms.